1.
Compound: Cs2Tl9In6
Source: the Alexandria database
Functional: PBE
Structure: relaxed

It has space group P6/mmm (No. 191), with a = 7.1973 Å, b = 7.1973 Å, c = 14.5250 Å, α = 90.00°, β = 90.00° and γ = 120.00°. The inequivalent atoms are Cs at (0.0000, 0.0000, 0.1749), Tl at (0.0000, 0.5000, 0.0000), Tl at (0.0000, 0.5000, 0.3353), In at (0.3333, 0.6667, 0.1673) and In at (0.3333, 0.6667, 0.5000).

The size of the total moment comes out at 0.000 μB/atom. As for the total energy: -38.6 eV per cell.


2.
Compound: LiAsIr2
Source: the Alexandria database
Functional: PBE
Structure: relaxed

It has space group P4/mmm (No. 123), with a = 4.1696 Å, b = 4.1696 Å, c = 3.0926 Å, α = 90.00°, β = 90.00° and γ = 90.00°. The inequivalent atoms are Li at (0.0000, 0.0000, 0.0000), As at (0.5000, 0.5000, 0.0000) and Ir at (0.0000, 0.5000, 0.5000).

The size of the total moment comes out at 0.000 μB/atom. As for the total energy: -24.9 eV per cell.


3.
Compound: La2SmEr4Th
Source: the Alexandria database
Functional: PBE
Structure: relaxed

It has space group P2/m (No. 10), with a = 5.1495 Å, b = 5.1516 Å, c = 9.8645 Å, α = 90.00°, β = 90.05° and γ = 90.00°. The inequivalent atoms are La at (0.0000, 0.0000, 0.0000), La at (0.5000, 0.5000, 0.5000), Sm at (0.0000, 0.0000, 0.5000), Er at (0.0003, 0.5000, 0.2454), Er at (0.5002, 0.0000, 0.2454) and Th at (0.5000, 0.5000, 0.0000).

The size of the total moment comes out at 0.000 μB/atom. As for the total energy: -40.0 eV per cell.


4.
Compound: Li2Nd2YIn2
Source: the Alexandria database
Functional: PBE
Structure: relaxed

It has space group R-3m (No. 166, hexagonal axes), with a = 4.8908 Å, b = 4.8908 Å, c = 26.9661 Å, α = 90.00°, β = 90.00° and γ = 120.00°. The inequivalent atoms are Li at (0.0000, 0.0000, 0.1092), Nd at (0.0000, 0.0000, 0.3725), Y at (0.0000, 0.0000, 0.5000) and In at (0.0000, 0.0000, 0.2341).

The size of the total moment comes out at 0.000 μB/atom. As for the total energy: -81.2 eV per cell.


5.
Compound: ZrWBr2
Source: the Alexandria database
Functional: PBE
Structure: relaxed

It has space group I-4m2 (No. 119), with a = 4.1379 Å, b = 4.1379 Å, c = 9.4306 Å, α = 90.00°, β = 90.00° and γ = 90.00°. The inequivalent atoms are Zr at (0.0000, 0.0000, 0.0000), W at (0.0000, 0.5000, 0.2500), Br at (0.0000, 0.0000, 0.5000) and Br at (0.0000, 0.5000, 0.7500).

The size of the total moment comes out at 0.239 μB/atom. The formation energy without anion corrections is 816 meV/atom.


6.
Compound: CeAlP2O8
Source: the Alexandria database
Functional: PBE
Structure: relaxed

It has space group P-3 (No. 147), with a = 4.9767 Å, b = 4.9767 Å, c = 6.6988 Å, α = 90.00°, β = 90.00° and γ = 120.00°. The inequivalent atoms are Ce at (0.0000, 0.0000, 0.0000), Al at (0.0000, 0.0000, 0.5000), P at (0.3333, 0.6667, 0.7485), O at (0.1089, 0.3319, 0.6785) and O at (0.3333, 0.6667, 0.9787).

The size of the total moment comes out at 0.083 μB/atom. The formation energy without anion corrections is -2734 meV/atom.


7.
Compound: SrTcPb
Source: the Alexandria database
Functional: PBE
Structure: relaxed

It has space group I4mm (No. 107), with a = 3.6684 Å, b = 3.6684 Å, c = 11.5656 Å, α = 90.00°, β = 90.00° and γ = 90.00°. The inequivalent atoms are Sr at (0.0000, 0.0000, 0.0000), Tc at (0.0000, 0.0000, 0.3083) and Pb at (0.0000, 0.0000, 0.7120).

The size of the total moment comes out at 0.285 μB/atom. As for the total energy: -29.1 eV per cell.


8.
Compound: RuPtCl
Source: the Alexandria database
Functional: PBE
Structure: relaxed

It has space group F-43m (No. 216), with a = 6.2354 Å, b = 6.2354 Å, c = 6.2354 Å, α = 90.00°, β = 90.00° and γ = 90.00°. The inequivalent atoms are Ru at (0.0000, 0.0000, 0.0000), Pt at (0.2500, 0.2500, 0.7500) and Cl at (0.0000, 0.0000, 0.5000).

The size of the total moment comes out at 1.141 μB/atom. The formation energy without anion corrections is 1034 meV/atom.